VASP calculation (meta-GGA SCAN) on PIrW at its PBEsol-relaxed geometry.

Summary:
Total moment: 0.000 μB per atom
DFT total energy: -151.03 eV/f.u.
Distance to the lowest polymorph of the same formula: 55 meV per atom
Space group: F-43m (216)

Unit cell a=3.983 b=3.983 c=3.983 alpha=60.00 beta=60.00 gamma=60.00
Element x y z (fractional)
Ir1 0.500 0.500 0.500
P1 0.250 0.250 0.250
W1 0.000 0.000 0.000